# CaSmZn17 | Alexandria via LeMat-Bulk | PBE | relaxed
data_CaSmZn17
_chemical_formula_sum 'Ca1 Sm1 Zn17'
_cell_length_a 6.833
_cell_length_b 6.833
_cell_length_c 6.833
_cell_angle_alpha 82.86
_cell_angle_beta 82.86
_cell_angle_gamma 82.86
_symmetry_space_group_name_H-M 'P 1'
_symmetry_Int_Tables_number 1
loop_
_symmetry_equiv_pos_as_xyz
'x,y,z'
loop_
_atom_site_label
_atom_site_type_symbol
_atom_site_fract_x
_atom_site_fract_y
_atom_site_fract_z
Ca1 Ca 0.337 0.337 0.337
Zn1 Zn 0.161 0.649 0.649
Zn2 Zn 0.999 0.500 0.999
Zn3 Zn 0.649 0.161 0.649
Zn4 Zn 0.100 0.100 0.100
Zn5 Zn 0.296 0.001 0.704
Zn6 Zn 0.704 0.001 0.296
Zn7 Zn 0.704 0.296 0.001
Zn8 Zn 0.296 0.704 0.001
Zn9 Zn 0.001 0.296 0.704
Zn10 Zn 0.352 0.838 0.352
Zn11 Zn 0.838 0.352 0.352
Zn12 Zn 0.352 0.352 0.838
Zn13 Zn 0.500 0.999 0.999
Zn14 Zn 0.999 0.999 0.500
Zn15 Zn 0.901 0.901 0.901
Zn16 Zn 0.649 0.649 0.161
Zn17 Zn 0.001 0.704 0.296
Sm1 Sm 0.665 0.665 0.665
# Calculated formation energy   -213 meV per atom
# Space-group type   R3m, No. 160
# Magnetization   0.000 Bohr magnetons per cell
# Crystal system   trigonal

# LiPr2Re | Alexandria via LeMat-Bulk | PBE | relaxed
data_LiPr2Re
_chemical_formula_sum 'Li1 Pr2 Re1'
_cell_length_a 5.097
_cell_length_b 5.097
_cell_length_c 5.097
_cell_angle_alpha 60.00
_cell_angle_beta 60.00
_cell_angle_gamma 60.00
_symmetry_space_group_name_H-M 'P 1'
_symmetry_Int_Tables_number 1
loop_
_symmetry_equiv_pos_as_xyz
'x,y,z'
loop_
_atom_site_label
_atom_site_type_symbol
_atom_site_fract_x
_atom_site_fract_y
_atom_site_fract_z
Li1 Li 0.500 0.500 0.500
Re1 Re 0.000 0.000 0.000
Pr1 Pr 0.250 0.250 0.250
Pr2 Pr 0.750 0.750 0.750
# Calculated formation energy   199 meV per atom
# Space-group type   Fm-3m, No. 225
# Magnetization   0.000 Bohr magnetons per cell
# Crystal system   cubic

# Ac2Co2Ge3 | Alexandria via LeMat-Bulk | PBE | relaxed
data_Ac2Co2Ge3
_chemical_formula_sum 'Ac4 Co4 Ge6'
_cell_length_a 4.568
_cell_length_b 7.063
_cell_length_c 9.804
_cell_angle_alpha 90.00
_cell_angle_beta 103.47
_cell_angle_gamma 90.00
_symmetry_space_group_name_H-M 'P 1'
_symmetry_Int_Tables_number 1
loop_
_symmetry_equiv_pos_as_xyz
'x,y,z'
loop_
_atom_site_label
_atom_site_type_symbol
_atom_site_fract_x
_atom_site_fract_y
_atom_site_fract_z
Ac1 Ac 0.835 0.750 0.670
Ac2 Ac 0.165 0.250 0.330
Ac3 Ac 0.053 0.750 0.106
Ac4 Ac 0.947 0.250 0.894
Ge1 Ge 0.563 0.431 0.127
Ge2 Ge 0.220 0.750 0.440
Ge3 Ge 0.437 0.931 0.873
Ge4 Ge 0.563 0.069 0.127
Ge5 Ge 0.437 0.569 0.873
Ge6 Ge 0.780 0.250 0.560
Co1 Co 0.317 0.088 0.634
Co2 Co 0.317 0.412 0.634
Co3 Co 0.683 0.588 0.366
Co4 Co 0.683 0.912 0.366
# Calculated formation energy   -394 meV per atom
# Space-group type   Cmcm, No. 63
# Magnetization   6.544 Bohr magnetons per cell
# Crystal system   orthorhombic

# KSbTe | Alexandria via LeMat-Bulk | PBE | relaxed
data_KSbTe
_chemical_formula_sum 'K2 Sb2 Te2'
_cell_length_a 4.792
_cell_length_b 5.591
_cell_length_c 10.732
_cell_angle_alpha 121.69
_cell_angle_beta 90.00
_cell_angle_gamma 90.00
_symmetry_space_group_name_H-M 'P 1'
_symmetry_Int_Tables_number 1
loop_
_symmetry_equiv_pos_as_xyz
'x,y,z'
loop_
_atom_site_label
_atom_site_type_symbol
_atom_site_fract_x
_atom_site_fract_y
_atom_site_fract_z
Sb1 Sb 0.861 0.794 0.285
Sb2 Sb 0.861 0.218 0.210
Te1 Te 0.861 0.911 0.908
Te2 Te 0.861 0.101 0.587
K1 K 0.361 0.568 0.555
K2 K 0.361 0.445 0.939
# Space-group type   P2/m, No. 10
# Magnetization   0.000 Bohr magnetons per cell
# Crystal system   monoclinic
# Energy relative to the elements, uncorrected   -0.46 eV per atom

# K2HfAlTe5 | Alexandria via LeMat-Bulk | PBE | relaxed
data_K2HfAlTe5
_chemical_formula_sum 'K4 Hf2 Al2 Te10'
_cell_length_a 4.022
_cell_length_b 11.049
_cell_length_c 15.370
_cell_angle_alpha 90.00
_cell_angle_beta 90.00
_cell_angle_gamma 100.49
_symmetry_space_group_name_H-M 'P 1'
_symmetry_Int_Tables_number 1
loop_
_symmetry_equiv_pos_as_xyz
'x,y,z'
loop_
_atom_site_label
_atom_site_type_symbol
_atom_site_fract_x
_atom_site_fract_y
_atom_site_fract_z
K1 K 0.878 0.756 0.820
K2 K 0.868 0.736 0.187
K3 K 0.122 0.244 0.320
K4 K 0.132 0.264 0.687
Al1 Al 0.576 0.152 0.922
Al2 Al 0.424 0.848 0.422
Te1 Te 0.334 0.668 0.003
Te2 Te 0.666 0.332 0.503
Te3 Te 0.304 0.607 0.388
Te4 Te 0.297 0.594 0.660
Te5 Te 0.512 0.024 0.780
Te6 Te 0.703 0.406 0.160
Te7 Te 0.064 0.128 0.033
Te8 Te 0.488 0.976 0.280
Te9 Te 0.936 0.872 0.533
Te10 Te 0.696 0.393 0.888
Hf1 Hf 0.794 0.587 0.530
Hf2 Hf 0.206 0.413 0.030
# Space-group type   Cmc2_1, No. 36
# Magnetization   0.006 Bohr magnetons per cell
# Crystal system   orthorhombic
# Energy relative to the elements, uncorrected   -0.76 eV per atom

# Ca2BeCo | Alexandria via LeMat-Bulk | PBE | relaxed
data_Ca2BeCo
_chemical_formula_sum 'Ca2 Be1 Co1'
_cell_length_a 3.848
_cell_length_b 4.287
_cell_length_c 5.759
_cell_angle_alpha 68.17
_cell_angle_beta 90.00
_cell_angle_gamma 90.00
_symmetry_space_group_name_H-M 'P 1'
_symmetry_Int_Tables_number 1
loop_
_symmetry_equiv_pos_as_xyz
'x,y,z'
loop_
_atom_site_label
_atom_site_type_symbol
_atom_site_fract_x
_atom_site_fract_y
_atom_site_fract_z
Ca1 Ca 0.000 0.986 0.903
Ca2 Ca 0.500 0.267 0.342
Be1 Be 0.500 0.581 0.712
Co1 Co 0.000 0.666 0.542
# Calculated formation energy   138 meV per atom
# Space-group type   Amm2, No. 38
# Magnetization   0.002 Bohr magnetons per cell
# Crystal system   orthorhombic

# SrTaPCl2 | Alexandria via LeMat-Bulk | PBE | relaxed
data_SrTaPCl2
_chemical_formula_sum 'Sr1 Ta1 P1 Cl2'
_cell_length_a 4.868
_cell_length_b 4.868
_cell_length_c 5.006
_cell_angle_alpha 90.00
_cell_angle_beta 90.00
_cell_angle_gamma 90.00
_symmetry_space_group_name_H-M 'P 1'
_symmetry_Int_Tables_number 1
loop_
_symmetry_equiv_pos_as_xyz
'x,y,z'
loop_
_atom_site_label
_atom_site_type_symbol
_atom_site_fract_x
_atom_site_fract_y
_atom_site_fract_z
Cl1 Cl 0.000 0.500 0.000
Cl2 Cl 0.500 0.000 0.000
Ta1 Ta 0.000 0.000 0.000
P1 P 0.000 0.000 0.500
Sr1 Sr 0.500 0.500 0.500
# Space-group type   P4/mmm, No. 123
# Magnetization   0.000 Bohr magnetons per cell
# Crystal system   tetragonal
# Energy relative to the elements, uncorrected   -0.83 eV per atom

# ScMnBe | Alexandria via LeMat-Bulk | PBE | relaxed
data_ScMnBe
_chemical_formula_sum 'Sc6 Mn6 Be6'
_cell_length_a 4.883
_cell_length_b 4.883
_cell_length_c 12.247
_cell_angle_alpha 78.50
_cell_angle_beta 78.50
_cell_angle_gamma 60.00
_symmetry_space_group_name_H-M 'P 1'
_symmetry_Int_Tables_number 1
loop_
_symmetry_equiv_pos_as_xyz
'x,y,z'
loop_
_atom_site_label
_atom_site_type_symbol
_atom_site_fract_x
_atom_site_fract_y
_atom_site_fract_z
Mn1 Mn 0.610 0.610 0.169
Mn2 Mn 0.000 0.500 0.000
Mn3 Mn 0.500 0.500 0.000
Mn4 Mn 0.500 0.000 0.000
Mn5 Mn 0.390 0.390 0.831
Mn6 Mn 0.500 0.500 0.500
Sc1 Sc 0.043 0.043 0.872
Sc2 Sc 0.821 0.821 0.536
Sc3 Sc 0.263 0.263 0.210
Sc4 Sc 0.179 0.179 0.464
Sc5 Sc 0.957 0.957 0.128
Sc6 Sc 0.737 0.737 0.790
Be1 Be 0.286 0.286 0.665
Be2 Be 0.286 0.763 0.665
Be3 Be 0.763 0.286 0.665
Be4 Be 0.237 0.714 0.335
Be5 Be 0.714 0.714 0.335
Be6 Be 0.714 0.237 0.335
# Calculated formation energy   -106 meV per atom
# Space-group type   R-3m, No. 166
# Magnetization   4.692 Bohr magnetons per cell
# Crystal system   trigonal

Question: What is the formula in the third record?
Answer: Ac2Co2Ge3

Question: Which value of magnetization does entry 7 give?
Answer: 0.000 Bohr magnetons per cell